--- A ---
This record from Alexandria via LeMat-Bulk describes crystalline DyTm6Th3 at its relaxed geometry. The functional is PBE-GGA.

It has space group P2_1/m (No. 11), with a = 13.016 Å, b = 3.490 Å, c = 14.511 Å, α = 90.00°, β = 108.47° and γ = 90.00°. The asymmetric unit holds Dy at (0.081, 0.250, 0.197), Tm at (0.141, 0.750, 0.013), Tm at (0.156, 0.250, 0.809), Tm at (0.215, 0.250, 0.601), Tm at (0.260, 0.750, 0.403), Tm at (0.339, 0.250, 0.224), Tm at (0.393, 0.750, 0.790), Th at (0.006, 0.250, 0.395), Th at (0.385, 0.250, 0.005) and Th at (0.465, 0.250, 0.591).


--- B ---
This record from Alexandria via LeMat-Bulk describes crystalline DyTm6Th3 at its relaxed geometry. The functional is PBE-GGA.

It has space group R-3 (No. 148, hexagonal axes), with a = 9.7599 Å, b = 9.7599 Å, c = 11.8630 Å, α = 90.00°, β = 90.00° and γ = 120.00°. The asymmetric unit holds Dy at (0.0000, 0.0000, 0.0000), Tm at (0.9995, 0.3328, 0.2518), Th at (0.0000, 0.0000, 0.2486) and Th at (0.0000, 0.0000, 0.5000).


It turns out A is the most stable, with the second structure 28.5 kJ/mol of atoms higher.


--- A ---
This record from Alexandria via LeMat-Bulk describes crystalline DyTm6Th at its relaxed geometry. The functional is PBE-GGA.

It has space group P4/mmm (No. 123), with a = 4.973 Å, b = 4.973 Å, c = 9.882 Å, α = 90.00°, β = 90.00° and γ = 90.00°. The asymmetric unit holds Dy at (0.000, 0.000, 0.000), Tm at (0.000, 0.500, 0.251), Tm at (0.500, 0.500, 0.000), Tm at (0.500, 0.500, 0.500) and Th at (0.000, 0.000, 0.500).


--- B ---
This record from Alexandria via LeMat-Bulk describes crystalline DyTm6Th at its relaxed geometry. The functional is PBE-GGA.

It has space group P-1 (No. 2), with a = 6.484 Å, b = 6.648 Å, c = 6.684 Å, α = 60.26°, β = 85.03° and γ = 87.45°. The asymmetric unit holds Dy at (0.000, 0.000, 0.000), Tm at (0.241, 0.558, 0.535), Tm at (0.247, 0.529, 0.035), Tm at (0.252, 0.059, 0.517) and Th at (0.500, 0.000, 0.000).


It turns out A is the most stable, with the second structure 19.1 kJ/mol of atoms higher.